[1]
Here is a relaxed structure of Tl5Hg3Br12 from the Alexandria database. Energies are from PBE.

Lattice parameters (Å, degrees): 16.3097 16.3097 16.3097 109.47 109.47 109.47
Closest atoms and distances in Å follow each position.
Fractional coordinates of all 80 atoms:
Br 0.6206 0.0276 0.2290  1 Tl 2.64
Br 0.2986 0.7710 0.3916  1 Tl 2.64
Br 0.2710 0.8794 0.9724  1 Tl 2.64
Br 0.9069 0.7986 0.5276  1 Tl 2.64
Hg 0.8750 0.7500 0.1250  8 Br 3.58-3.76
Hg 0.8750 0.1250 0.2500  8 Br 3.58-3.76
Br 0.3794 0.4069 0.1084  1 Tl 2.64
Br 0.3916 0.1206 0.5931  1 Tl 2.64
Br 0.6206 0.5931 0.8916  1 Tl 2.64
Br 0.7290 0.1206 0.0276  1 Tl 2.64
Br 0.2986 0.5276 0.4069  1 Tl 2.64
Br 0.3794 0.9724 0.7710  1 Tl 2.64
Tl 0.2500 0.8750 0.1250  4 Br 2.64
Hg 0.6250 0.2500 0.3750  8 Br 3.58-3.76
Tl 0.6250 0.8750 0.2500  4 Br 2.64
Br 0.4069 0.3794 0.6084  1 Tl 2.64
Br 0.0276 0.4069 0.7986  1 Tl 2.64
Tl 0.1250 0.3750 0.2500  4 Br 2.64
Br 0.5931 0.6206 0.3916  1 Tl 2.64
Tl 0.8750 0.2500 0.6250  4 Br 2.64
Tl 0.8750 0.6250 0.7500  4 Br 2.64
Tl 0.7500 0.6250 0.3750  4 Br 2.64
Br 0.7290 0.6084 0.2014  1 Tl 2.64
Hg 0.7500 0.3750 0.1250  8 Br 3.58-3.76
Br 0.5276 0.2986 0.9069  1 Tl 2.64
Br 0.2014 0.0931 0.9724  1 Tl 2.64
Br 0.7986 0.8916 0.2710  1 Tl 2.64
Hg 0.2500 0.1250 0.3750  8 Br 3.58-3.76
Tl 0.5000 0.0000 0.5000  6 Br 3.38
Hg 0.2500 0.6250 0.8750  8 Br 3.58-3.76
Br 0.0276 0.6206 0.7290  1 Tl 2.64
Br 0.2710 0.3916 0.7986  1 Tl 2.64
Br 0.2014 0.1084 0.7290  1 Tl 2.64
Br 0.1084 0.2014 0.2290  1 Tl 2.64
Br 0.9724 0.3794 0.2710  1 Tl 2.64
Tl 0.6250 0.7500 0.8750  4 Br 2.64
Br 0.8916 0.0931 0.6206  1 Tl 2.64
Br 0.7014 0.4724 0.5931  1 Tl 2.64
Br 0.2290 0.7014 0.1084  1 Tl 2.64
Br 0.7710 0.2986 0.8916  1 Tl 2.64
Br 0.3916 0.2710 0.2986  1 Tl 2.64
Br 0.9069 0.1084 0.8794  1 Tl 2.64
Br 0.2290 0.5276 0.6206  1 Tl 2.64
Br 0.6084 0.8794 0.4069  1 Tl 2.64
Br 0.1084 0.9069 0.3794  1 Tl 2.64
Hg 0.7500 0.8750 0.6250  8 Br 3.58-3.76
Tl 0.3750 0.2500 0.1250  4 Br 2.64
Tl 0.2500 0.3750 0.6250  4 Br 2.64
Tl 0.0000 0.5000 0.0000  6 Br 3.38
Br 0.0931 0.8916 0.1206  1 Tl 2.64
Tl 0.1250 0.7500 0.3750  4 Br 2.64
Br 0.4069 0.0276 0.2986  1 Tl 2.64
Br 0.0931 0.2014 0.4724  1 Tl 2.64
Br 0.5931 0.9724 0.7014  1 Tl 2.64
Hg 0.3750 0.7500 0.6250  8 Br 3.58-3.76
Tl 0.5000 0.0000 0.0000  6 Br 3.38
Tl 0.0000 0.5000 0.5000  6 Br 3.38
Br 0.4724 0.7710 0.8794  1 Tl 2.64
Hg 0.1250 0.8750 0.7500  8 Br 3.58-3.76
Br 0.8794 0.2710 0.4724  1 Tl 2.64
Tl 0.5000 0.5000 0.5000  6 Br 3.38
Br 0.6084 0.7290 0.7014  1 Tl 2.64
Br 0.1206 0.7290 0.5276  1 Tl 2.64
Br 0.4724 0.7014 0.0931  1 Tl 2.64
Hg 0.3750 0.6250 0.2500  8 Br 3.58-3.76
Hg 0.1250 0.2500 0.8750  8 Br 3.58-3.76
Br 0.7986 0.9069 0.0276  1 Tl 2.64
Tl 0.3750 0.1250 0.7500  4 Br 2.64
Br 0.5276 0.2290 0.1206  1 Tl 2.64
Tl 0.0000 0.0000 0.0000  6 Br 3.38
Br 0.1206 0.3916 0.0931  1 Tl 2.64
Tl 0.0000 0.0000 0.5000  6 Br 3.38
Hg 0.6250 0.3750 0.7500  8 Br 3.58-3.76
Br 0.8916 0.7986 0.7710  1 Tl 2.64
Br 0.8794 0.6084 0.9069  1 Tl 2.64
Br 0.9724 0.5931 0.2014  1 Tl 2.64
Br 0.7710 0.4724 0.3794  1 Tl 2.64
Tl 0.5000 0.5000 0.0000  6 Br 3.38
Br 0.7014 0.2290 0.6084  1 Tl 2.64
Tl 0.7500 0.1250 0.8750  4 Br 2.64

* formation energy (no corrections): -0.4289 eV/atom

[2]
Here is a relaxed structure of PmSmGa from the Alexandria database. Energies are from PBE.

Lattice parameters (Å, degrees): 5.0599 5.0599 5.0599 60.00 60.00 60.00
Closest atoms and distances in Å follow each position.
Fractional coordinates of all 3 atoms:
Pm 0.5000 0.5000 0.5000  4 Ga 3.10
Ga 0.2500 0.2500 0.2500  4 Pm 3.10, 4 Sm 3.10
Sm 0.0000 0.0000 0.0000  4 Ga 3.10

* formation energy: -0.724 eV per formula unit
* offset from the most stable computed form: 154 meV/atom

[3]
Here is a relaxed structure of LaTb4Pd4 from the Alexandria database. Energies are from PBE.

Lattice parameters (Å, degrees): 5.8038 9.1426 9.1426 90.00 90.00 90.00
Closest atoms and distances in Å follow each position.
Fractional coordinates of all 18 atoms:
Tb 0.9160 0.5953 0.8268  5 Pd 2.84-2.96
Tb 0.0840 0.8268 0.4047  5 Pd 2.84-2.96
Tb 0.4160 0.3268 0.9047  5 Pd 2.84-2.96
La 0.5000 0.5000 0.5000  4 Pd 2.93
Tb 0.5840 0.0953 0.3268  5 Pd 2.84-2.96
Pd 0.9129 0.7116 0.1281  5 Tb 2.84-2.96, 1 La 2.93, 1 Pd 3.01
Tb 0.5840 0.9047 0.6732  5 Pd 2.84-2.96
Pd 0.5871 0.7884 0.3719  5 Tb 2.84-2.96, 1 La 2.93, 1 Pd 3.01
Pd 0.9129 0.2884 0.8719  5 Tb 2.84-2.96, 1 La 2.93, 1 Pd 3.01
Pd 0.4129 0.6281 0.7884  5 Tb 2.84-2.96, 1 La 2.93, 1 Pd 3.01
Tb 0.9160 0.4047 0.1732  5 Pd 2.84-2.96
Pd 0.0871 0.8719 0.7116  5 Tb 2.84-2.96, 1 La 2.93, 1 Pd 3.01
Pd 0.5871 0.2116 0.6281  5 Tb 2.84-2.96, 1 La 2.93, 1 Pd 3.01
Tb 0.0840 0.1732 0.5953  5 Pd 2.84-2.96
La 0.0000 0.0000 0.0000  4 Pd 2.93
Pd 0.4129 0.3719 0.2116  5 Tb 2.84-2.96, 1 La 2.93, 1 Pd 3.01
Tb 0.4160 0.6732 0.0953  5 Pd 2.84-2.96
Pd 0.0871 0.1281 0.2884  5 Tb 2.84-2.96, 1 La 2.93, 1 Pd 3.01

* formation energy: -6.056 eV per formula unit

[4]
Here is a relaxed structure of LiAg2S from the Alexandria database. Energies are from PBE.

Lattice parameters (Å, degrees): 3.9180 3.9180 9.8447 78.52 78.52 90.00
Closest atoms and distances in Å follow each position.
Fractional coordinates of all 8 atoms:
S 0.7500 0.2500 0.5000  4 Ag 2.73, 4 Li 2.77
Ag 0.3750 0.3693 0.7500  2 S 2.73, 4 Ag 2.74-2.80, 2 Li 2.75
Ag 0.8750 0.8807 0.7500  2 S 2.73, 4 Ag 2.74-2.80, 2 Li 2.75
Li 0.2500 0.7500 0.5000  4 Ag 2.75, 4 S 2.77
Li 0.5000 0.5000 0.0000  4 Ag 2.75, 4 S 2.77
Ag 0.1193 0.6250 0.2500  2 S 2.73, 4 Ag 2.74-2.80, 2 Li 2.75
Ag 0.6307 0.1250 0.2500  2 S 2.73, 4 Ag 2.74-2.80, 2 Li 2.75
S 0.0000 0.0000 0.0000  4 Ag 2.73, 4 Li 2.77

* formation energy (no corrections): -0.1776 eV/atom

[5]
Here is a relaxed structure of LaMg2Cd from the Alexandria database. Energies are from PBE.

Lattice parameters (Å, degrees): 5.7792 5.7792 5.9752 74.99 74.99 33.98
Closest atoms and distances in Å follow each position.
Fractional coordinates of all 4 atoms:
La 0.2500 0.2500 0.2500  2 La 3.38, 6 Mg 3.41-3.47, 4 Cd 3.43
Cd 0.7500 0.7500 0.7500  4 Mg 3.02, 2 Cd 3.38
Mg 0.0216 0.0216 0.9629  2 Cd 3.02, 4 Mg 3.20-3.38
Mg 0.4784 0.4784 0.5371  2 Cd 3.02, 4 Mg 3.20-3.38

* formation energy: -0.336 eV per formula unit

[6]
Here is a relaxed structure of HfAl2Cr2 from the Alexandria database. Energies are from PBE.

Lattice parameters (Å, degrees): 7.4035 7.4035 2.7873 90.00 90.00 90.00
Closest atoms and distances in Å follow each position.
Fractional coordinates of all 10 atoms:
Cr 0.1029 0.3971 0.0000  1 Cr 2.15
Hf 0.0000 0.0000 0.0000  2 Hf 2.79, 4 Cr 3.04, 8 Al 3.04
Al 0.6870 0.8130 0.5000  6 Cr 2.60-2.63, 2 Al 2.79
Cr 0.8971 0.6029 0.0000  1 Cr 2.15
Cr 0.6029 0.1029 0.0000  1 Cr 2.15
Al 0.3130 0.1870 0.5000  6 Cr 2.60-2.63, 2 Al 2.79
Al 0.8130 0.3130 0.5000  6 Cr 2.60-2.63, 2 Al 2.79
Hf 0.5000 0.5000 0.0000  2 Hf 2.79, 4 Cr 3.04, 8 Al 3.04
Cr 0.3971 0.8971 0.0000  1 Cr 2.15
Al 0.1870 0.6870 0.5000  6 Cr 2.60-2.63, 2 Al 2.79

* formation energy: 0.051 eV per formula unit
* offset from the most stable computed form: 27 meV/atom

[7]
Here is a relaxed structure of K2CoReCl from the Alexandria database. Energies are from PBE.

Lattice parameters (Å, degrees): 6.0399 6.0399 4.1625 90.00 90.00 90.00
Closest atoms and distances in Å follow each position.
Fractional coordinates of all 5 atoms:
Cl 0.0000 0.0000 0.0000  2 Co 2.08
Re 0.5000 0.5000 0.5000  8 K 3.67
Co 0.0000 0.0000 0.5000  2 Cl 2.08
K 0.5000 0.0000 0.0000  2 Cl 3.02
K 0.0000 0.5000 0.0000  2 Cl 3.02

* formation energy (no corrections): 1.1271 eV/atom

[8]
Here is a relaxed structure of AlSiPd2 from the Alexandria database. Energies are from PBE.

Lattice parameters (Å, degrees): 6.9120 6.9120 5.5908 51.82 51.82 90.00
Closest atoms and distances in Å follow each position.
Fractional coordinates of all 8 atoms:
Si 0.7500 0.2500 0.5000  4 Pd 2.36
Pd 0.3750 0.3365 0.7500  2 Si 2.36
Si 0.0000 0.0000 0.0000  4 Pd 2.36
Pd 0.0865 0.6250 0.2500  2 Si 2.36
Pd 0.6635 0.1250 0.2500  2 Si 2.36
Al 0.5000 0.5000 0.0000  2 Si 2.71, 4 Pd 2.72
Pd 0.8750 0.9135 0.7500  2 Si 2.36
Al 0.2500 0.7500 0.5000  2 Si 2.71, 4 Pd 2.72

* formation energy (no corrections): -0.2713 eV/atom

[9]
Here is a relaxed structure of Sm3YHg5 from the Alexandria database. Energies are from PBE.

Lattice parameters (Å, degrees): 6.6134 9.2158 9.2159 120.00 90.00 90.00
Closest atoms and distances in Å follow each position.
Fractional coordinates of all 18 atoms:
Y 0.0000 0.0000 0.0000  6 Hg 3.19, 2 Y 3.31
Hg 0.7500 0.2956 0.0000  5 Sm 3.07-3.38, 2 Y 3.19
Hg 0.2500 0.0000 0.7044  5 Sm 3.07-3.38, 2 Y 3.19
Sm 0.7500 0.6290 0.0000  9 Hg 3.07-3.38
Sm 0.2500 0.3710 0.0000  9 Hg 3.07-3.38
Hg 0.2500 0.7044 0.0000  5 Sm 3.07-3.38, 2 Y 3.19
Hg 0.7500 0.0000 0.2956  5 Sm 3.07-3.38, 2 Y 3.19
Hg 0.5000 0.3333 0.6667  8 Hg 3.31-3.66, 6 Sm 3.35
Hg 0.0000 0.6667 0.3333  8 Hg 3.31-3.66, 6 Sm 3.35
Sm 0.2500 0.0000 0.3710  9 Hg 3.07-3.38
Hg 0.5000 0.6667 0.3333  8 Hg 3.31-3.66, 6 Sm 3.35
Hg 0.2500 0.2956 0.2956  5 Sm 3.07-3.38, 2 Y 3.19
Sm 0.7500 0.3710 0.3710  9 Hg 3.07-3.38
Sm 0.7500 0.0000 0.6290  9 Hg 3.07-3.38
Hg 0.0000 0.3333 0.6667  8 Hg 3.31-3.66, 6 Sm 3.35
Hg 0.7500 0.7044 0.7044  5 Sm 3.07-3.38, 2 Y 3.19
Y 0.5000 0.0000 0.0000  6 Hg 3.19, 2 Y 3.31
Sm 0.2500 0.6290 0.6290  9 Hg 3.07-3.38

* formation energy: -3.849 eV per formula unit

[10]
Here is a relaxed structure of Pm6Pr2Nd3Sm from the Alexandria database. Energies are from PBE.

Lattice parameters (Å, degrees): 6.3584 6.3584 12.1538 95.03 95.03 120.01
Closest atoms and distances in Å follow each position.
Fractional coordinates of all 12 atoms:
Pr 0.6667 0.3333 0.0000  6 Pm 3.67, 3 Pr 3.67, 3 Sm 3.67
Nd 0.5000 0.5000 0.5000  6 Pm 3.66-3.67, 6 Nd 3.67
Sm 0.0000 0.0000 0.0000  6 Pm 3.66-3.67, 6 Pr 3.67
Pm 0.2496 0.2496 0.7497  3 Nd 3.66-3.67, 6 Pm 3.66-3.67, 2 Pr 3.67, 1 Sm 3.67
Pm 0.7504 0.7504 0.2503  3 Nd 3.66-3.67, 6 Pm 3.66-3.67, 2 Pr 3.67, 1 Sm 3.67
Pm 0.4159 0.0832 0.2501  3 Nd 3.66-3.67, 1 Sm 3.66, 6 Pm 3.66-3.67, 2 Pr 3.67
Pm 0.5841 0.9168 0.7499  3 Nd 3.66-3.67, 1 Sm 3.66, 6 Pm 3.66-3.67, 2 Pr 3.67
Pm 0.9168 0.5841 0.7499  3 Nd 3.66-3.67, 1 Sm 3.66, 6 Pm 3.66-3.67, 2 Pr 3.67
Nd 0.8334 0.1666 0.5000  6 Pm 3.66-3.67, 6 Nd 3.67
Nd 0.1666 0.8334 0.5000  6 Pm 3.66-3.67, 6 Nd 3.67
Pr 0.3333 0.6667 0.0000  6 Pm 3.67, 3 Pr 3.67, 3 Sm 3.67
Pm 0.0832 0.4159 0.2501  3 Nd 3.66-3.67, 1 Sm 3.66, 6 Pm 3.66-3.67, 2 Pr 3.67

* formation energy: 0.150 eV per formula unit

[11]
Here is a relaxed structure of Sc2P2I from the Alexandria database. Energies are from PBE.

Lattice parameters (Å, degrees): 4.9399 4.9399 5.5936 63.80 63.80 90.00
Closest atoms and distances in Å follow each position.
Fractional coordinates of all 5 atoms:
Sc 0.7500 0.2500 0.5000  4 P 2.69
Sc 0.2500 0.7500 0.5000  4 P 2.69
P 0.6270 0.6270 0.7460  1 P 2.22
P 0.3730 0.3730 0.2540  1 P 2.22
I 0.0000 0.0000 0.0000  2 P 3.26, 8 Sc 3.30

* offset from the most stable computed form: 0 meV/atom
* formation energy (no corrections): -0.9430 eV/atom

[12]
Here is a relaxed structure of TlCuIr2 from the Alexandria database. Energies are from PBE.

Lattice parameters (Å, degrees): 4.8829 4.8829 4.8829 131.58 131.58 70.89
Closest atoms and distances in Å follow each position.
Fractional coordinates of all 4 atoms:
Ir 0.0000 0.0000 0.0000  4 Cu 2.82, 4 Tl 2.82, 4 Ir 2.83
Ir 0.5000 0.5000 0.0000  4 Tl 2.82, 4 Cu 2.82, 4 Ir 2.83
Tl 0.2500 0.7500 0.5000  8 Ir 2.82, 4 Cu 2.83
Cu 0.7500 0.2500 0.5000  8 Ir 2.82, 4 Tl 2.83

* formation energy: 1.912 eV per formula unit
* offset from the most stable computed form: 117 meV/atom

Number 1: uncorrected energy -0.076 Ha/atom, total magnetic moment 0.000 μB/f.u.. Number 2: uncorrected energy -0.162 Ha/atom, total magnetic moment 0.001 μB/f.u.. Number 3: uncorrected energy -0.205 Ha/atom, total magnetic moment 0.000 μB/f.u.. Number 4: uncorrected energy -0.114 Ha/atom, total magnetic moment 0.000 μB/f.u.. Number 5: uncorrected energy -0.086 Ha/atom, total magnetic moment 0.000 μB/f.u.. Number 6: uncorrected energy -0.269 Ha/atom, total magnetic moment 0.000 μB/f.u.. Number 7: uncorrected energy -0.132 Ha/atom, total magnetic moment 5.126 μB/f.u.. Number 8: uncorrected energy -0.190 Ha/atom, total magnetic moment 0.000 μB/f.u.. Number 9: uncorrected energy -0.106 Ha/atom, total magnetic moment 0.000 μB/f.u.. Number 10: uncorrected energy -0.174 Ha/atom, total magnetic moment 0.000 μB/f.u.. Number 11: uncorrected energy -0.219 Ha/atom, total magnetic moment 0.000 μB/f.u.. Number 12: uncorrected energy -0.205 Ha/atom, total magnetic moment 0.000 μB/f.u..